Entry 1:
Compound: SrNpPd
Source: OQMD
Functional: PBE-GGA
Structure: relaxed

Values from the calculation:
V: 30.26 Å³ per atom
Magnetic moment: 4.964 μB/cell
Relative energy among the computed polymorphs: 0 meV per atom

abc: 5.0448 5.0448 5.0448
angles: 60.00 60.00 60.00
Fractional positions:
Np (0.2500, 0.2500, 0.2500)
Pd (0.0000, 0.0000, 0.0000)
Sr (0.7500, 0.7500, 0.7500)

Entry 2:
Compound: TlPbAuSe2S
Source: OQMD
Functional: PBE-GGA
Structure: relaxed

Values from the calculation:
V: 25.72 Å³ per atom

abc: 6.6570 6.6570 11.4802
angles: 90.00 90.00 142.66
Fractional positions:
Au (0.1264, 0.8736, 0.2500)
Au (0.8736, 0.1264, 0.7500)
Pb (0.5000, 0.5000, 0.0000)
Pb (0.5000, 0.5000, 0.5000)
S (0.4791, 0.5209, 0.2500)
S (0.5209, 0.4791, 0.7500)
Se (0.1601, 0.8399, 0.0329)
Se (0.1601, 0.8399, 0.4671)
Se (0.8399, 0.1601, 0.5329)
Se (0.8399, 0.1601, 0.9671)
Tl (0.8110, 0.1890, 0.2500)
Tl (0.1890, 0.8110, 0.7500)

Entry 3:
Compound: Ba3PdN3
Source: OQMD
Functional: PBE-GGA
Structure: relaxed

Values from the calculation:
V: 22.86 Å³ per atom

abc: 8.0563 8.0563 5.6949
angles: 90.00 90.00 120.00
Fractional positions:
Ba (0.7268, 0.0915, 0.2500)
Ba (0.3647, 0.2732, 0.2500)
Ba (0.9085, 0.6353, 0.2500)
Ba (0.0915, 0.3647, 0.7500)
Ba (0.6353, 0.7268, 0.7500)
Ba (0.2732, 0.9085, 0.7500)
N (0.1038, 0.4119, 0.2500)
N (0.5881, 0.6919, 0.2500)
N (0.3081, 0.8962, 0.2500)
N (0.6919, 0.1038, 0.7500)
N (0.4119, 0.3081, 0.7500)
N (0.8962, 0.5881, 0.7500)
Pd (0.3333, 0.6667, 0.2500)
Pd (0.6667, 0.3333, 0.7500)

Entry 4:
Compound: CoSbPt
Source: OQMD
Functional: PBE-GGA
Structure: relaxed

Values from the calculation:
V: 16.31 Å³ per atom
Magnetic moment: 1.151 μB/cell

abc: 7.3041 7.3041 3.1773
angles: 90.00 90.00 120.00
Fractional positions:
Co (0.6342, 0.0000, 0.0000)
Co (0.3658, 0.3658, 0.0000)
Co (0.0000, 0.6342, 0.0000)
Pt (0.2989, 0.0000, 0.5000)
Pt (0.0000, 0.2989, 0.5000)
Pt (0.7011, 0.7011, 0.5000)
Sb (0.0000, 0.0000, 0.0000)
Sb (0.6667, 0.3333, 0.5000)
Sb (0.3333, 0.6667, 0.5000)

Entry 5:
Compound: InFeNiPd
Source: OQMD
Functional: PBE-GGA
Structure: relaxed

Values from the calculation:
V: 14.86 Å³ per atom
Magnetic moment: 3.278 μB/cell
Relative energy among the computed polymorphs: 0 meV per atom

abc: 4.3803 4.3803 4.3803
angles: 60.00 60.00 60.00
Fractional positions:
Fe (0.5000, 0.5000, 0.5000)
In (0.0000, 0.0000, 0.0000)
Ni (0.7500, 0.7500, 0.7500)
Pd (0.2500, 0.2500, 0.2500)

Entry 6:
Compound: Pr2DyZn3Ir2Pt
Source: OQMD
Functional: PBE-GGA
Structure: relaxed

Values from the calculation:
V: 20.45 Å³ per atom
DFT formation energy: -0.71 eV per atom
Magnetic moment: 0.007 μB/cell

abc: 3.9886 7.2903 7.2903
angles: 119.75 90.00 90.00
Fractional positions:
Dy (0.0000, 0.5926, 0.5926)
Ir (0.5000, 0.6621, 0.3433)
Ir (0.5000, 0.3433, 0.6621)
Pr (0.0000, 0.9998, 0.4133)
Pr (0.0000, 0.4133, 0.9998)
Pt (0.0000, 0.9933, 0.9933)
Zn (0.5000, 0.2496, 0.2496)
Zn (0.5000, 0.9943, 0.7517)
Zn (0.5000, 0.7517, 0.9943)

Entry 7:
Compound: HoBeAsO
Source: OQMD
Functional: PBE-GGA
Structure: relaxed

Values from the calculation:
V: 15.43 Å³ per atom
Magnetic moment: 0.003 μB/cell
Relative energy among the computed polymorphs: 0 meV per atom

abc: 3.7944 3.7944 8.5749
angles: 90.00 90.00 90.00
Fractional positions:
As (0.0000, 0.5000, 0.3421)
As (0.5000, 0.0000, 0.6579)
Be (0.0000, 0.0000, 0.5000)
Be (0.5000, 0.5000, 0.5000)
Ho (0.5000, 0.0000, 0.1321)
Ho (0.0000, 0.5000, 0.8679)
O (0.0000, 0.0000, 0.0000)
O (0.5000, 0.5000, 0.0000)

Entry 8:
Compound: Bi2Sb2Pd3
Source: OQMD
Functional: PBE-GGA
Structure: relaxed

Values from the calculation:
V: 22.52 Å³ per atom
Relative energy among the computed polymorphs: 0 meV per atom

abc: 7.1964 7.1964 8.4790
angles: 122.08 122.08 74.33
Fractional positions:
Bi (0.8782, 0.4995, 0.1211)
Bi (0.4995, 0.8782, 0.1211)
Bi (0.5005, 0.1218, 0.8789)
Bi (0.1218, 0.5005, 0.8789)
Pd (0.2459, 0.2459, 0.2218)
Pd (0.5000, 0.0000, 0.5000)
Pd (0.7660, 0.2340, 0.5000)
Pd (0.0000, 0.5000, 0.5000)
Pd (0.2340, 0.7660, 0.5000)
Pd (0.7541, 0.7541, 0.7782)
Sb (0.0229, 0.0229, 0.2778)
Sb (0.5496, 0.5496, 0.3503)
Sb (0.4504, 0.4504, 0.6497)
Sb (0.9771, 0.9771, 0.7222)

Entry 9:
Compound: PrBiPd
Source: OQMD
Functional: PBE-GGA
Structure: relaxed

Values from the calculation:
V: 27.17 Å³ per atom
Magnetic moment: 0.000 μB/cell

abc: 4.8665 4.8665 4.8665
angles: 60.00 60.00 60.00
Fractional positions:
Bi (0.0000, 0.0000, 0.0000)
Pd (0.7500, 0.7500, 0.7500)
Pr (0.5000, 0.5000, 0.5000)

Entry 10:
Compound: LiDyAu
Source: OQMD
Functional: PBE-GGA
Structure: relaxed

Values from the calculation:
V: 21.78 Å³ per atom
Magnetic moment: 0.007 μB/cell
Relative energy among the computed polymorphs: 0 meV per atom

abc: 4.0461 4.0461 7.9813
angles: 90.00 90.00 90.00
Fractional positions:
Au (0.0000, 0.5000, 0.2432)
Au (0.5000, 0.0000, 0.7568)
Dy (0.5000, 0.0000, 0.1514)
Dy (0.0000, 0.5000, 0.8486)
Li (0.0000, 0.0000, 0.5000)
Li (0.5000, 0.5000, 0.5000)

Entry 11:
Compound: Tm2AlGaPt4
Source: OQMD
Functional: PBE-GGA
Structure: relaxed

Values from the calculation:
V: 18.51 Å³ per atom
Magnetic moment: 0.002 μB/cell

abc: 4.3409 4.3409 9.0716
angles: 90.00 90.00 120.00
Fractional positions:
Al (0.0000, 0.0000, 0.5000)
Ga (0.0000, 0.0000, 0.0000)
Pt (0.6667, 0.3333, 0.0876)
Pt (0.6667, 0.3333, 0.4146)
Pt (0.3333, 0.6667, 0.5854)
Pt (0.3333, 0.6667, 0.9124)
Tm (0.3333, 0.6667, 0.2491)
Tm (0.6667, 0.3333, 0.7509)

Entry 12:
Compound: Hf3AsIr
Source: OQMD
Functional: PBE-GGA
Structure: relaxed

Values from the calculation:
V: 20.50 Å³ per atom
Magnetic moment: 0.001 μB/cell

abc: 6.3151 6.3151 9.5996
angles: 90.00 90.00 147.63
Fractional positions:
As (0.0000, 0.0000, 0.0000)
As (0.0000, 0.0000, 0.5000)
Hf (0.3457, 0.6543, 0.0783)
Hf (0.0780, 0.9220, 0.2500)
Hf (0.3457, 0.6543, 0.4217)
Hf (0.6543, 0.3457, 0.5783)
Hf (0.9220, 0.0780, 0.7500)
Hf (0.6543, 0.3457, 0.9217)
Ir (0.7450, 0.2550, 0.2500)
Ir (0.2550, 0.7450, 0.7500)

Entry 13:
Compound: HoScSi2Pt4
Source: OQMD
Functional: PBE-GGA
Structure: relaxed

Values from the calculation:
V: 16.79 Å³ per atom
Magnetic moment: 0.016 μB/cell

abc: 7.0769 5.3607 5.3607
angles: 41.33 90.00 90.00
Fractional positions:
Ho (0.0000, 0.4494, 0.4494)
Pt (0.2041, 0.1414, 0.1414)
Pt (0.7959, 0.1414, 0.1414)
Pt (0.3021, 0.8604, 0.8604)
Pt (0.6979, 0.8604, 0.8604)
Sc (0.5000, 0.5479, 0.5479)
Si (0.5000, 0.2671, 0.2671)
Si (0.0000, 0.7319, 0.7319)

Entry 14:
Compound: PmTcO4
Source: OQMD
Functional: PBE-GGA
Structure: relaxed

Values from the calculation:
V: 12.72 Å³ per atom
Magnetic moment: 4.000 μB/cell

abc: 6.6098 6.6098 5.0433
angles: 109.58 109.58 116.28
Fractional positions:
O (0.8516, 0.4361, 0.1538)
O (0.7055, 0.7670, 0.2028)
O (0.2330, 0.2945, 0.2972)
O (0.5639, 0.1484, 0.3462)
O (0.4361, 0.8516, 0.6538)
O (0.7670, 0.7055, 0.7028)
O (0.2945, 0.2330, 0.7972)
O (0.1484, 0.5639, 0.8462)
Pm (0.1342, 0.8658, 0.2500)
Pm (0.8658, 0.1342, 0.7500)
Tc (0.5943, 0.4057, 0.2500)
Tc (0.4057, 0.5943, 0.7500)

Entry 15:
Compound: Dy3Ho2Hg3
Source: OQMD
Functional: PBE-GGA
Structure: relaxed

Values from the calculation:
V: 26.81 Å³ per atom
DFT formation energy: -0.14 eV per atom
Magnetic moment: 0.007 μB/cell
Relative energy among the computed polymorphs: 136 meV per atom

abc: 6.8806 6.8806 5.2311
angles: 90.00 90.00 120.00
Fractional positions:
Dy (0.5030, 0.0060, 0.0000)
Dy (0.9940, 0.4970, 0.0000)
Dy (0.5030, 0.4970, 0.0000)
Hg (0.3340, 0.1670, 0.5000)
Hg (0.8330, 0.1670, 0.5000)
Hg (0.8330, 0.6660, 0.5000)
Ho (0.0000, 0.0000, 0.0000)
Ho (0.3333, 0.6667, 0.5000)

Entry 16:
Compound: Sc2SiPd
Source: OQMD
Functional: PBE-GGA
Structure: relaxed

Values from the calculation:
V: 17.17 Å³ per atom
Magnetic moment: 1.918 μB/cell

abc: 4.5969 4.5969 4.5969
angles: 60.00 60.00 60.00
Fractional positions:
Pd (0.2500, 0.2500, 0.2500)
Sc (0.0000, 0.0000, 0.0000)
Sc (0.7500, 0.7500, 0.7500)
Si (0.5000, 0.5000, 0.5000)

Entry 17:
Compound: Nd3Y3NiTe2
Source: OQMD
Functional: PBE-GGA
Structure: relaxed

Values from the calculation:
V: 28.06 Å³ per atom
Magnetic moment: 0.107 μB/cell
Relative energy among the computed polymorphs: 0 meV per atom

abc: 8.5175 8.5175 4.0196
angles: 90.00 90.00 120.00
Fractional positions:
Nd (0.4062, 0.0000, 0.0000)
Nd (0.0000, 0.4062, 0.0000)
Nd (0.5938, 0.5938, 0.0000)
Ni (0.0000, 0.0000, 0.0000)
Te (0.6667, 0.3333, 0.5000)
Te (0.3333, 0.6667, 0.5000)
Y (0.7631, 0.0000, 0.5000)
Y (0.2369, 0.2369, 0.5000)
Y (0.0000, 0.7631, 0.5000)

Entry 18:
Compound: LaSmSn2
Source: OQMD
Functional: PBE-GGA
Structure: relaxed

Values from the calculation:
V: 33.38 Å³ per atom
Magnetic moment: 0.433 μB/cell

abc: 13.6358 13.6358 4.5137
angles: 90.00 90.00 161.44
Fractional positions:
La (0.6599, 0.3401, 0.2500)
La (0.3401, 0.6599, 0.7500)
Sm (0.9429, 0.0571, 0.2500)
Sm (0.0571, 0.9429, 0.7500)
Sn (0.5405, 0.4595, 0.2500)
Sn (0.2535, 0.7465, 0.2500)
Sn (0.7465, 0.2535, 0.7500)
Sn (0.4595, 0.5405, 0.7500)

Entry 19:
Compound: PrYSb
Source: OQMD
Functional: PBE-GGA
Structure: relaxed

Values from the calculation:
V: 32.89 Å³ per atom
Magnetic moment: 0.000 μB/cell

abc: 5.1867 5.1867 5.1867
angles: 60.00 60.00 60.00
Fractional positions:
Pr (0.7500, 0.7500, 0.7500)
Sb (0.0000, 0.0000, 0.0000)
Y (0.2500, 0.2500, 0.2500)

Entry 20:
Compound: Li3Co
Source: OQMD
Functional: PBE-GGA
Structure: relaxed

Values from the calculation:
V: 13.18 Å³ per atom
Magnetic moment: 1.751 μB/cell

abc: 5.2639 5.2639 4.3955
angles: 90.00 90.00 120.00
Fractional positions:
Co (0.6667, 0.3333, 0.2500)
Co (0.3333, 0.6667, 0.7500)
Li (0.1733, 0.3466, 0.2500)
Li (0.1733, 0.8267, 0.2500)
Li (0.6534, 0.8267, 0.2500)
Li (0.3466, 0.1733, 0.7500)
Li (0.8267, 0.1733, 0.7500)
Li (0.8267, 0.6534, 0.7500)

Entry 21:
Compound: LaMg2Al3Ge2Pt
Source: OQMD
Functional: PBE-GGA
Structure: relaxed

Values from the calculation:
V: 19.46 Å³ per atom
Magnetic moment: 0.002 μB/cell

abc: 4.2327 6.9348 6.9348
angles: 120.64 90.00 90.00
Fractional positions:
Al (0.5000, 0.9962, 0.2317)
Al (0.5000, 0.7676, 0.7676)
Al (0.5000, 0.2317, 0.9962)
Ge (0.5000, 0.6723, 0.3173)
Ge (0.5000, 0.3173, 0.6723)
La (0.0000, 0.4281, 0.4281)
Mg (0.0000, 0.5997, 0.0069)
Mg (0.0000, 0.0069, 0.5997)
Pt (0.0000, 0.9802, 0.9802)

Entry 22:
Compound: LiLu2Pt
Source: OQMD
Functional: PBE-GGA
Structure: relaxed

Values from the calculation:
V: 19.20 Å³ per atom
Magnetic moment: 0.000 μB/cell

abc: 4.7716 4.7716 4.7716
angles: 60.00 60.00 60.00
Fractional positions:
Li (0.5000, 0.5000, 0.5000)
Lu (0.0000, 0.0000, 0.0000)
Lu (0.7500, 0.7500, 0.7500)
Pt (0.2500, 0.2500, 0.2500)

Entry 23:
Compound: LaPdO3
Source: OQMD
Functional: PBE-GGA
Structure: relaxed

Values from the calculation:
V: 14.18 Å³ per atom
Magnetic moment: 2.000 μB/cell

abc: 5.7820 5.7820 5.9277
angles: 60.81 60.81 60.00
Fractional positions:
La (0.6272, 0.6272, 0.1185)
La (0.3728, 0.3728, 0.8815)
O (0.5527, 0.2122, 0.2696)
O (0.2122, 0.9655, 0.2696)
O (0.9655, 0.5527, 0.2696)
O (0.0345, 0.4473, 0.7304)
O (0.7878, 0.0345, 0.7304)
O (0.4473, 0.7878, 0.7304)
Pd (0.8431, 0.8431, 0.4708)
Pd (0.1569, 0.1569, 0.5292)

Entry 24:
Compound: Gd3Al3SiGePt
Source: OQMD
Functional: PBE-GGA
Structure: relaxed

Values from the calculation:
V: 20.08 Å³ per atom
Magnetic moment: 0.025 μB/cell

abc: 6.9988 6.9988 4.2596
angles: 90.00 90.00 120.00
Fractional positions:
Al (0.3375, 0.4349, 0.5000)
Al (0.0974, 0.6625, 0.5000)
Al (0.5651, 0.9026, 0.5000)
Gd (0.3350, 0.0835, 0.0000)
Gd (0.9165, 0.2515, 0.0000)
Gd (0.7485, 0.6650, 0.0000)
Ge (0.0000, 0.0000, 0.5000)
Pt (0.3333, 0.6667, 0.0000)
Si (0.6667, 0.3333, 0.5000)

Entry 25:
Compound: HfTlPd2
Source: OQMD
Functional: PBE-GGA
Structure: relaxed

Values from the calculation:
V: 18.16 Å³ per atom
Magnetic moment: 0.001 μB/cell

abc: 4.6831 4.6831 4.6831
angles: 60.00 60.00 60.00
Fractional positions:
Hf (0.2500, 0.2500, 0.2500)
Pd (0.0000, 0.0000, 0.0000)
Pd (0.7500, 0.7500, 0.7500)
Tl (0.5000, 0.5000, 0.5000)

What total energy values result from the calculations? In sequence: -6.2854; -3.5848; -5.3215; -5.6923; -5.5316; -5.3454; -6.3341; -4.7979; -5.6181; -3.8593; -6.1416; -9.4082; -6.8968; -8.0587; -3.1212; -6.2209; -5.8054; -4.8349; -5.7382; -2.8732; -4.4500; -4.6550; -6.6972; -5.4698; -5.9425 eV per atom.
What mass density values result from the calculations? In sequence: 7.88; 8.59; 5.81; 12.75; 9.38; 11.01; 7.13; 10.33; 9.30; 9.31; 13.63; 13.00; 12.94; 6.68; 10.99; 5.43; 6.66; 6.55; 5.92; 2.51; 5.77; 11.93; 6.87; 7.80; 13.62 g cm⁻³.